LiAl2Br, relaxed, DFT PBE; distance to the lowest polymorph of the same formula = 43 meV/atom; formation energy from raw total energies = -0.250 eV/atom; uncorrected energy = -3.018 eV/atom
1.0
-1.763 1.814 8.572
1.763 -1.814 8.572
1.763 1.814 -8.572
Li Al Br
1 2 1
Direct
0.000 0.000 0.000 Li
0.279 0.779 0.500 Al
0.721 0.221 0.500 Al
0.500 0.500 0.000 Br


LiAlBr2, relaxed, DFT PBE; distance to the lowest polymorph of the same formula = 17 meV/atom; formation energy from raw total energies = -0.803 eV/atom; uncorrected energy = -3.054 eV/atom
1.0
5.470 0.000 0.000
0.000 3.753 0.000
-2.423 0.000 5.613
Li Al Br
1 1 2
Direct
0.000 0.000 0.000 Li
0.228 0.500 0.693 Al
0.544 0.000 0.625 Br
0.921 0.500 0.247 Br


LiAlBr4, relaxed, DFT PBE; distance to the lowest polymorph of the same formula = 233 meV/atom; formation energy from raw total energies = -1.048 eV/atom; uncorrected energy = -3.106 eV/atom
1.0
7.323 0.000 0.000
0.000 7.323 0.000
0.000 0.000 9.760
Li Al Br
2 2 8
Direct
0.000 0.000 0.000 Li
0.000 0.000 0.500 Li
0.000 0.500 0.000 Al
0.500 0.000 0.500 Al
0.232 0.269 0.000 Br
0.232 0.731 0.000 Br
0.269 0.232 0.500 Br
0.269 0.768 0.500 Br
0.731 0.232 0.500 Br
0.731 0.768 0.500 Br
0.768 0.269 0.000 Br
0.768 0.731 0.000 Br


LiAl3Br, relaxed, DFT PBE; distance to the lowest polymorph of the same formula = 373 meV/atom; formation energy from raw total energies = 0.730 eV/atom; uncorrected energy = -2.233 eV/atom
1.0
5.451 0.000 0.000
0.000 5.451 0.000
0.000 0.000 5.451
Li Al Br
1 3 1
Direct
0.000 0.000 0.000 Li
0.000 0.500 0.500 Al
0.500 0.000 0.500 Al
0.500 0.500 0.000 Al
0.500 0.500 0.500 Br


Li2AlBr, relaxed, DFT PBE; distance to the lowest polymorph of the same formula = 183 meV/atom; formation energy from raw total energies = -0.346 eV/atom; uncorrected energy = -2.657 eV/atom
1.0
2.972 -4.102 0.000
2.972 4.102 0.000
-0.030 0.000 3.310
Li Al Br
2 1 1
Direct
0.000 0.500 0.000 Li
0.500 0.000 0.000 Li
0.000 0.000 0.500 Al
0.500 0.500 0.500 Br


LiAlBr3, relaxed, DFT PBE; distance to the lowest polymorph of the same formula = 370 meV/atom; formation energy from raw total energies = -0.422 eV/atom; uncorrected energy = -2.557 eV/atom
1.0
5.114 0.000 0.000
0.000 5.114 0.000
0.000 0.000 5.114
Li Al Br
1 1 3
Direct
0.000 0.000 0.000 Li
0.500 0.500 0.500 Al
0.000 0.000 0.500 Br
0.000 0.500 0.000 Br
0.500 0.000 0.000 Br